# 1
DFT (PBE) results for a relaxed structure of AcZn3Ni.

Computed properties:
**Raw total energy**: -2.98 eV per atom
**Fermi-level density of states**: 3.3 states/eV/f.u.
**SG**: Pm-3m, No. 221
**Formation energy from the elements**: -0.24 eV per atom
**Crystal system**: cubic

Structure (POSCAR):
```
AcZn3Ni
1.0
4.700 0.000 0.000
0.000 4.700 0.000
0.000 0.000 4.700
Ni Ac Zn
1 1 3
Direct
0.000 0.000 0.000
0.500 0.500 0.500
0.000 0.500 0.000
0.000 0.000 0.500
0.500 0.000 0.000
```



# 2
DFT (PBE) results for a relaxed structure of AcInHgBi.

Computed properties:
**Raw total energy**: -3.24 eV per atom
**Fermi-level density of states**: 2.3 states/eV/f.u.
**SG**: Pmmm, No. 47
**Formation energy from the elements**: -0.48 eV per atom
**Crystal system**: orthorhombic

Structure (POSCAR):
```
AcInHgBi
1.0
4.726 0.000 0.000
0.000 5.051 0.000
0.000 0.000 5.209
Ac In Hg Bi
1 1 1 1
Direct
0.000 0.500 0.500
0.000 0.000 0.000
0.500 0.500 0.000
0.500 0.000 0.500
```



# 3
DFT (PBE) results for a relaxed structure of Tc2GeMo.

Computed properties:
**Raw total energy**: -8.37 eV per atom
**Fermi-level density of states**: 4.5 states/eV/f.u.
**SG**: I-42d, No. 122
**Formation energy from the elements**: 0.67 eV per atom
**Crystal system**: tetragonal

Structure (POSCAR):
```
Tc2GeMo
1.0
-0.206 -2.503 -6.396
6.704 -1.465 0.358
2.651 -4.480 -2.023
Mo Ge Tc
2 2 4
Direct
0.000 0.000 0.000
0.750 0.250 0.500
0.500 0.500 0.000
0.250 0.750 0.500
0.622 0.125 0.250
0.128 0.625 0.250
0.375 0.378 0.750
0.875 0.872 0.750
```